Record 1
SmHo6Th4: relaxed, PBE.

Cell lengths 18.1565, 18.1565, 18.1565 Å; angles 169.17, 161.45, 21.53 degrees
Closest atoms and distances in Å follow each position.
Positions (direct):
Sm 0.0000 0.0000 0.0000  2 Sm 3.43, 8 Th 3.74
Ho 0.0966 0.5966 0.5000  6 Ho 3.43-3.61, 4 Th 3.47-3.51
Ho 0.2671 0.7671 0.5000  7 Ho 3.43-3.62, 4 Th 3.44-3.47
Ho 0.3686 0.8686 0.5000  7 Ho 3.43-3.62, 4 Th 3.44-3.55
Ho 0.6314 0.1314 0.5000  7 Ho 3.43-3.62, 4 Th 3.44-3.55
Ho 0.7329 0.2329 0.5000  7 Ho 3.43-3.62, 4 Th 3.44-3.47
Ho 0.9034 0.4034 0.5000  6 Ho 3.43-3.61, 4 Th 3.47-3.51
Th 0.1824 0.1824 0.0000  2 Th 3.43, 8 Ho 3.44-3.51
Th 0.4557 0.4557 0.0000  3 Th 3.16-3.43, 2 Ho 3.47
Th 0.5443 0.5443 0.0000  3 Th 3.16-3.43, 2 Ho 3.47
Th 0.8176 0.8176 0.0000  2 Th 3.43, 8 Ho 3.44-3.51

Output
Crystal system: orthorhombic

=====

Record 2
Sm2HoTh4: relaxed, PBE.

Cell lengths 3.5750, 36.2220, 3.5746 Å; angles 90.00, 90.00, 90.00 degrees
Closest atoms and distances in Å follow each position.
Positions (direct):
Sm 0.0000 0.2064 0.0000  4 Th 3.55, 6 Sm 3.57-3.63
Sm 0.0000 0.7936 0.0000  4 Th 3.55, 6 Sm 3.57-3.63
Sm 0.5000 0.2936 0.0000  4 Th 3.55, 6 Sm 3.57-3.63
Sm 0.5000 0.7064 0.0000  4 Th 3.55, 6 Sm 3.57-3.63
Ho 0.0000 0.5000 0.5000  4 Ho 3.57, 8 Th 3.59
Ho 0.5000 0.0000 0.5000  4 Ho 3.57, 8 Th 3.59
Th 0.0000 0.0704 0.0000  8 Th 3.52-3.57, 4 Ho 3.59
Th 0.0000 0.3622 0.5000  8 Th 3.52-3.57, 4 Sm 3.55
Th 0.0000 0.6378 0.5000  8 Th 3.52-3.57, 4 Sm 3.55
Th 0.0000 0.9296 0.0000  8 Th 3.52-3.57, 4 Ho 3.59
Th 0.5000 0.1378 0.5000  8 Th 3.52-3.57, 4 Sm 3.55
Th 0.5000 0.4296 0.0000  8 Th 3.52-3.57, 4 Ho 3.59
Th 0.5000 0.5704 0.0000  8 Th 3.52-3.57, 4 Ho 3.59
Th 0.5000 0.8622 0.5000  8 Th 3.52-3.57, 4 Sm 3.55

Output
Crystal system: orthorhombic

=====

Record 3
Sm3Ho2Th2: relaxed, PBE.

Cell lengths 17.4850, 3.4716, 8.6483 Å; angles 90.00, 119.15, 90.00 degrees
Closest atoms and distances in Å follow each position.
Positions (direct):
Sm 0.0000 0.0000 0.0000  4 Sm 3.35-3.47, 2 Th 3.55, 4 Ho 3.57
Sm 0.2151 0.0000 0.1346  5 Sm 3.35-3.56, 3 Ho 3.44-3.70, 3 Th 3.50-3.57
Sm 0.2849 0.5000 0.8654  5 Sm 3.35-3.56, 3 Ho 3.44-3.70, 3 Th 3.50-3.57
Sm 0.5000 0.5000 0.0000  4 Sm 3.35-3.47, 2 Th 3.55, 4 Ho 3.57
Sm 0.7151 0.5000 0.1346  5 Sm 3.35-3.56, 3 Ho 3.44-3.70, 3 Th 3.50-3.57
Sm 0.7849 0.0000 0.8654  5 Sm 3.35-3.56, 3 Ho 3.44-3.70, 3 Th 3.50-3.57
Ho 0.0631 0.5000 0.7188  3 Ho 3.33-3.47, 5 Sm 3.44-3.70, 4 Th 3.70-3.72
Ho 0.4369 0.0000 0.2812  3 Ho 3.33-3.47, 5 Sm 3.44-3.70, 4 Th 3.70-3.72
Ho 0.5631 0.0000 0.7188  3 Ho 3.33-3.47, 5 Sm 3.44-3.70, 4 Th 3.70-3.72
Ho 0.9369 0.5000 0.2812  3 Ho 3.33-3.47, 5 Sm 3.44-3.70, 4 Th 3.70-3.72
Th 0.1512 0.0000 0.4607  4 Th 3.47-3.62, 4 Sm 3.50-3.57, 4 Ho 3.70-3.72
Th 0.3488 0.5000 0.5393  4 Th 3.47-3.62, 4 Sm 3.50-3.57, 4 Ho 3.70-3.72
Th 0.6512 0.5000 0.4607  4 Th 3.47-3.62, 4 Sm 3.50-3.57, 4 Ho 3.70-3.72
Th 0.8488 0.0000 0.5393  4 Th 3.47-3.62, 4 Sm 3.50-3.57, 4 Ho 3.70-3.72

Output
Crystal system: monoclinic

=====

no.,E_form (eV per atom),raw total energy (eV/atom),polymorph energy (0 for the lowest one) (meV per atom)
1,0.170,-5.45,0
2,0.077,-6.17,0
3,0.140,-5.31,104